Rb2MgReBr | PBE | optimized geometry Values from VASP.

Geometry as Quantum ESPRESSO input:
```
&SYSTEM
  ibrav = 0, nat = 5, ntyp = 4
/
ATOMIC_SPECIES
Rb 85.47 Rb.upf
Mg 24.30 Mg.upf
Re 186.21 Re.upf
Br 79.90 Br.upf
CELL_PARAMETERS angstrom
6.923 0.000 0.000
0.000 6.923 0.000
0.000 0.000 4.709
ATOMIC_POSITIONS crystal
Rb 0.000 0.500 0.000
Rb 0.500 0.000 0.000
Mg 0.000 0.000 0.500
Re 0.500 0.500 0.000
Br 0.500 0.500 0.500
```

Computed properties:
As for the volume: 225.71 Å³ per cell. The total energy is -2.6238 eV/atom. The calculation puts the formation energy without anion corrections at 0.91 eV/atom. The density of states at the Fermi level is 2.97 states/eV/cell.